No. 1
Compound: PuGeTe2O
Source: Alexandria via LeMat-Bulk
Functional: PBE
Structure: optimized geometry

Cell lengths 3.9924, 3.9924, 15.5005 Å; angles 90.00, 90.00, 90.00 degrees
Space group P4/nmm (No. 129, origin choice 2)
One atom of each set of equivalent atoms:
Pu: 0.2500 0.2500 0.0764 (multiplicity 2)
Ge: 0.2500 0.2500 0.6338 (multiplicity 2)
Te: 0.2500 0.2500 0.3982 (multiplicity 2)
Te: 0.2500 0.2500 0.8124 (multiplicity 2)
O: 0.2500 0.7500 0.0000 (multiplicity 2)

Output
Raw formation energy, eV per atom: -1.256
Spin magnetization, μB/f.u.: 4.53



No. 2
Compound: PuTlGe2O8
Source: Alexandria via LeMat-Bulk
Functional: PBE
Structure: optimized geometry

Cell lengths 5.6379, 5.6379, 8.4808 Å; angles 90.00, 90.00, 120.00 degrees
Space group P-3m1 (No. 164)
One atom of each set of equivalent atoms:
Pu: 0.0000 0.0000 0.0000 (multiplicity 1)
Tl: 0.0000 0.0000 0.5000 (multiplicity 1)
Ge: 0.3333 0.6667 0.7655 (multiplicity 2)
O: 0.1669 0.3339 0.8597 (multiplicity 6)
O: 0.3333 0.6667 0.5676 (multiplicity 2)

Output
Raw formation energy, eV per atom: -1.571
Spin magnetization, μB/f.u.: 0.92



No. 3
Compound: PuTlGeO5
Source: Alexandria via LeMat-Bulk
Functional: PBE
Structure: optimized geometry

Cell lengths 7.4705, 9.8469, 8.0192 Å; angles 90.00, 115.55, 90.00 degrees
Space group C2/c (No. 15)
One atom of each set of equivalent atoms:
Pu: 0.0000 0.0000 0.0000 (multiplicity 4)
Tl: 0.0000 0.3325 0.2500 (multiplicity 4)
Ge: 0.0000 0.3113 0.7500 (multiplicity 4)
O: 0.0000 0.0557 0.2500 (multiplicity 4)
O: 0.0820 0.2055 0.6141 (multiplicity 8)
O: 0.1962 0.4218 0.8932 (multiplicity 8)

Output
Raw formation energy, eV per atom: -1.957
Spin magnetization, μB/f.u.: 3.00



No. 4
Compound: YPuGe2O8
Source: Alexandria via LeMat-Bulk
Functional: PBE
Structure: optimized geometry

Cell lengths 7.0541, 7.0541, 6.4617 Å; angles 90.00, 90.00, 90.00 degrees
Space group I-4m2 (No. 119)
One atom of each set of equivalent atoms:
Y: 0.0000 0.0000 0.0000 (multiplicity 2)
Pu: 0.0000 0.5000 0.7500 (multiplicity 2)
Ge: 0.0000 0.0000 0.5000 (multiplicity 2)
Ge: 0.0000 0.5000 0.2500 (multiplicity 2)
O: 0.0000 0.1887 0.6817 (multiplicity 8)
O: 0.0000 0.3189 0.0608 (multiplicity 8)

Output
Raw formation energy, eV per atom: -2.325
Spin magnetization, μB/f.u.: 3.00



No. 5
Compound: PuZnGeO6
Source: Alexandria via LeMat-Bulk
Functional: PBE
Structure: optimized geometry

Cell lengths 5.2208, 5.2208, 9.0749 Å; angles 90.00, 90.00, 120.00 degrees
Space group P-31c (No. 163)
One atom of each set of equivalent atoms:
Pu: 0.3333 0.6667 0.2500 (multiplicity 2)
Zn: 0.0000 0.0000 0.0000 (multiplicity 2)
Ge: 0.3333 0.6667 0.7500 (multiplicity 2)
O: 0.0216 0.3576 0.6330 (multiplicity 12)

Output
Raw formation energy, eV per atom: -1.790
Spin magnetization, μB/f.u.: 2.00



No. 6
Compound: RbGe3O
Source: Alexandria via LeMat-Bulk
Functional: PBE
Structure: optimized geometry

Cell lengths 5.8310, 5.8310, 5.8310 Å; angles 90.00, 90.00, 90.00 degrees
Space group Pm-3m (No. 221)
One atom of each set of equivalent atoms:
Rb: 0.0000 0.0000 0.0000 (multiplicity 1)
Ge: 0.0000 0.0000 0.5000 (multiplicity 3)
O: 0.5000 0.5000 0.5000 (multiplicity 1)

Output
Raw formation energy, eV per atom: 2.224
E above lowest polymorph, meV/atom: 2035
Spin magnetization, μB/f.u.: 1.53



No. 7
Compound: Rb4GeO4
Source: Alexandria via LeMat-Bulk
Functional: PBE
Structure: optimized geometry

Cell lengths 11.1215, 6.9276, 11.0879 Å; angles 90.00, 111.76, 90.00 degrees
Space group P2_1/c (No. 14)
One atom of each set of equivalent atoms:
Rb: 0.0603 0.0921 0.1960 (multiplicity 4)
Rb: 0.1574 0.6111 0.0862 (multiplicity 4)
Rb: 0.3673 0.6637 0.8906 (multiplicity 4)
Rb: 0.4244 0.1838 0.7949 (multiplicity 4)
Ge: 0.2418 0.1307 0.9909 (multiplicity 4)
O: 0.0881 0.2395 0.9693 (multiplicity 4)
O: 0.2210 0.5042 0.3456 (multiplicity 4)
O: 0.2985 0.5235 0.6331 (multiplicity 4)
O: 0.3596 0.1785 0.5145 (multiplicity 4)

Output
Raw formation energy, eV per atom: -1.591
E above lowest polymorph, meV/atom: 0
Spin magnetization, μB/f.u.: 0.08



No. 8
Compound: Rb4GeO4
Source: Alexandria via LeMat-Bulk
Functional: PBE
Structure: optimized geometry

Cell lengths 8.5943, 8.5943, 5.5522 Å; angles 90.00, 90.00, 90.00 degrees
Space group I4/m (No. 87)
One atom of each set of equivalent atoms:
Rb: 0.1162 0.2975 0.0000 (multiplicity 8)
Ge: 0.0000 0.0000 0.5000 (multiplicity 2)
O: 0.0621 0.2080 0.5000 (multiplicity 8)

Output
Raw formation energy, eV per atom: -1.294
E above lowest polymorph, meV/atom: 297
Spin magnetization, μB/f.u.: 0.00



No. 9
Compound: Rb2Ge4O9
Source: Alexandria via LeMat-Bulk
Functional: PBE
Structure: optimized geometry

Cell lengths 12.3054, 12.3054, 10.0423 Å; angles 90.00, 90.00, 120.00 degrees
Space group P-3c1 (No. 165)
One atom of each set of equivalent atoms:
Rb: 0.0025 0.3365 0.4316 (multiplicity 12)
Ge: 0.0000 0.0000 0.0000 (multiplicity 2)
Ge: 0.0000 0.1779 0.7500 (multiplicity 6)
Ge: 0.1505 0.4840 0.7231 (multiplicity 12)
Ge: 0.3333 0.6667 0.4725 (multiplicity 4)
O: 0.0000 0.4715 0.7500 (multiplicity 6)
O: 0.0702 0.1486 0.8878 (multiplicity 12)
O: 0.1189 0.3275 0.6813 (multiplicity 12)
O: 0.1868 0.5762 0.5791 (multiplicity 12)
O: 0.2447 0.5180 0.8646 (multiplicity 12)

Output
Raw formation energy, eV per atom: -1.738
Spin magnetization, μB/f.u.: 0.00



No. 10
Compound: Rb3GeO3
Source: Alexandria via LeMat-Bulk
Functional: PBE
Structure: optimized geometry

Cell lengths 8.6047, 14.8890, 5.8910 Å; angles 90.00, 90.00, 90.00 degrees
Space group Cmcm (No. 63)
One atom of each set of equivalent atoms:
Rb: 0.0000 0.1732 0.2500 (multiplicity 4)
Rb: 0.2395 0.4134 0.2500 (multiplicity 8)
Ge: 0.0000 0.3332 0.7500 (multiplicity 4)
O: 0.0000 0.2150 0.7500 (multiplicity 4)
O: 0.1769 0.3924 0.7500 (multiplicity 8)

Output
Raw formation energy, eV per atom: -1.335
E above lowest polymorph, meV/atom: 51
Spin magnetization, μB/f.u.: 0.00



No. 11
Compound: Rb3GeO
Source: Alexandria via LeMat-Bulk
Functional: PBE
Structure: optimized geometry

Cell lengths 13.1164, 4.1480, 13.4437 Å; angles 90.00, 111.80, 90.00 degrees
Space group Cm (No. 8)
One atom of each set of equivalent atoms:
Rb: 0.0000 0.0000 0.0000 (multiplicity 2)
Rb: 0.0472 0.5000 0.2903 (multiplicity 2)
Rb: 0.1185 0.0000 0.5747 (multiplicity 2)
Rb: 0.2458 0.0000 0.8651 (multiplicity 2)
Rb: 0.3168 0.5000 0.1494 (multiplicity 2)
Rb: 0.3642 0.0000 0.4400 (multiplicity 2)
Ge: 0.3754 0.5000 0.6889 (multiplicity 2)
Ge: 0.4891 0.0000 0.7516 (multiplicity 2)
O: 0.4007 0.0000 0.0688 (multiplicity 2)
O: 0.4634 0.5000 0.3710 (multiplicity 2)

Output
Raw formation energy, eV per atom: -0.595
E above lowest polymorph, meV/atom: 0
Spin magnetization, μB/f.u.: 0.00



No. 12
Compound: Rb3GeO
Source: Alexandria via LeMat-Bulk
Functional: PBE
Structure: optimized geometry

Cell lengths 5.6864, 5.6864, 5.6864 Å; angles 90.00, 90.00, 90.00 degrees
Space group Pm-3m (No. 221)
One atom of each set of equivalent atoms:
Rb: 0.0000 0.0000 0.5000 (multiplicity 3)
Ge: 0.5000 0.5000 0.5000 (multiplicity 1)
O: 0.0000 0.0000 0.0000 (multiplicity 1)

Output
Raw formation energy, eV per atom: -0.306
E above lowest polymorph, meV/atom: 289
Spin magnetization, μB/f.u.: 3.00